1.
Entry from Alexandria: a relaxed structure of Nd2DySn9 (GGA-PBE).

a b c (Å): 4.727 4.727 14.446
angles (deg): 90.00 90.00 90.00
Space group P4/mmm (No. 123)
Symmetry-distinct sites (fractional):
Nd 0.000 0.000 0.168 (multiplicity 2)
Dy 0.000 0.000 0.500 (multiplicity 1)
Sn 0.000 0.500 0.000 (multiplicity 2)
Sn 0.000 0.500 0.337 (multiplicity 4)
Sn 0.500 0.500 0.169 (multiplicity 2)
Sn 0.500 0.500 0.500 (multiplicity 1)

Output
DOS(E_F)   0.6677 states/eV/atom
VASP energy   -4.651 eV/atom



2.
Entry from Alexandria: a relaxed structure of Nd5Dy2Sn5 (GGA-PBE).

a b c (Å): 14.987 4.461 12.873
angles (deg): 90.00 110.03 90.00
Space group C2/m (No. 12)
Symmetry-distinct sites (fractional):
Nd 0.000 0.000 0.000 (multiplicity 2)
Nd 0.160 0.000 0.541 (multiplicity 4)
Nd 0.227 0.000 0.844 (multiplicity 4)
Dy 0.050 0.500 0.287 (multiplicity 4)
Sn 0.000 0.500 0.500 (multiplicity 2)
Sn 0.116 0.500 0.926 (multiplicity 4)
Sn 0.193 0.000 0.293 (multiplicity 4)

Output
DOS(E_F)   0.6366 states/eV/atom
VASP energy   -4.969 eV/atom



3.
Entry from Alexandria: a relaxed structure of NdDySn2 (GGA-PBE).

a b c (Å): 4.338 6.237 8.534
angles (deg): 90.00 90.00 90.00
Space group Pmc2_1 (No. 26)
Symmetry-distinct sites (fractional):
Nd 0.000 0.128 0.000 (multiplicity 2)
Dy 0.500 0.374 0.635 (multiplicity 2)
Sn 0.000 0.404 0.360 (multiplicity 2)
Sn 0.500 0.094 0.275 (multiplicity 2)

Output
DOS(E_F)   0.6590 states/eV/atom
VASP energy   -5.082 eV/atom



4.
Entry from Alexandria: a relaxed structure of Nd4Dy3Sn4 (GGA-PBE).

a b c (Å): 3.563 9.652 19.184
angles (deg): 90.00 90.00 90.00
Space group Immm (No. 71)
Symmetry-distinct sites (fractional):
Nd 0.000 0.176 0.163 (multiplicity 8)
Dy 0.000 0.000 0.410 (multiplicity 4)
Dy 0.000 0.500 0.500 (multiplicity 2)
Sn 0.000 0.279 0.000 (multiplicity 4)
Sn 0.000 0.500 0.223 (multiplicity 4)

Output
DOS(E_F)   0.8228 states/eV/atom
VASP energy   -5.001 eV/atom



5.
Entry from Alexandria: a relaxed structure of NdDy2Sn (GGA-PBE).

a b c (Å): 4.870 4.870 4.836
angles (deg): 90.00 90.00 90.00
Space group P4/mmm (No. 123)
Symmetry-distinct sites (fractional):
Nd 0.000 0.000 0.000 (multiplicity 1)
Dy 0.000 0.500 0.500 (multiplicity 2)
Sn 0.500 0.500 0.000 (multiplicity 1)

Output
DOS(E_F)   1.2965 states/eV/atom
Excess energy over the best structure of this formula in the dataset   0 meV/atom
VASP energy   -4.916 eV/atom



6.
Entry from Alexandria: a relaxed structure of NdDySn2 (GGA-PBE).

a b c (Å): 4.0810 4.0810 25.5954
angles (deg): 90.00 90.00 120.00
Space group R-3m (No. 166, hexagonal axes)
Symmetry-distinct sites (fractional):
Nd 0.0000 0.0000 0.0000 (multiplicity 3)
Dy 0.0000 0.0000 0.5000 (multiplicity 3)
Sn 0.0000 0.0000 0.2476 (multiplicity 6)

Output
DOS(E_F)   0.9204 states/eV/atom
VASP energy   -4.877 eV/atom



7.
Entry from Alexandria: a relaxed structure of NdDySn (GGA-PBE).

a b c (Å): 4.145 4.145 9.971
angles (deg): 90.00 90.00 90.00
Space group I4mm (No. 107)
Symmetry-distinct sites (fractional):
Nd 0.000 0.000 0.000 (multiplicity 2)
Dy 0.000 0.000 0.686 (multiplicity 2)
Sn 0.000 0.000 0.337 (multiplicity 2)

Output
DOS(E_F)   1.3234 states/eV/atom
Excess energy over the best structure of this formula in the dataset   167 meV/atom
VASP energy   -4.904 eV/atom



8.
Entry from Alexandria: a relaxed structure of NdDy2Sn (GGA-PBE).

a b c (Å): 7.705 7.705 7.705
angles (deg): 90.00 90.00 90.00
Space group Fm-3m (No. 225)
Symmetry-distinct sites (fractional):
Nd 0.000 0.000 0.000 (multiplicity 4)
Dy 0.250 0.250 0.250 (multiplicity 8)
Sn 0.000 0.000 0.500 (multiplicity 4)

Output
DOS(E_F)   1.8695 states/eV/atom
Excess energy over the best structure of this formula in the dataset   209 meV/atom
VASP energy   -4.707 eV/atom



9.
Entry from Alexandria: a relaxed structure of NdDy2Sn (GGA-PBE).

a b c (Å): 3.5977 3.5977 32.8611
angles (deg): 90.00 90.00 120.00
Space group R3m (No. 160, hexagonal axes)
Symmetry-distinct sites (fractional):
Nd 0.0000 0.0000 0.0000 (multiplicity 3)
Dy 0.0000 0.0000 0.5769 (multiplicity 3)
Dy 0.0000 0.0000 0.7568 (multiplicity 3)
Sn 0.0000 0.0000 0.1666 (multiplicity 3)

Output
DOS(E_F)   0.8126 states/eV/atom
Excess energy over the best structure of this formula in the dataset   206 meV/atom
VASP energy   -4.711 eV/atom



10.
Entry from Alexandria: a relaxed structure of NdDySn (GGA-PBE).

a b c (Å): 4.644 4.644 17.084
angles (deg): 90.00 90.00 90.00
Space group I4/mmm (No. 139)
Symmetry-distinct sites (fractional):
Nd 0.000 0.000 0.177 (multiplicity 4)
Dy 0.000 0.500 0.000 (multiplicity 4)
Sn 0.000 0.000 0.367 (multiplicity 4)

Output
DOS(E_F)   1.1971 states/eV/atom
Excess energy over the best structure of this formula in the dataset   0 meV/atom
VASP energy   -5.071 eV/atom



11.
Entry from Alexandria: a relaxed structure of Nd2DySn (GGA-PBE).

a b c (Å): 7.825 7.825 7.825
angles (deg): 90.00 90.00 90.00
Space group Fm-3m (No. 225)
Symmetry-distinct sites (fractional):
Nd 0.250 0.250 0.250 (multiplicity 8)
Dy 0.000 0.000 0.000 (multiplicity 4)
Sn 0.000 0.000 0.500 (multiplicity 4)

Output
DOS(E_F)   1.7092 states/eV/atom
Excess energy over the best structure of this formula in the dataset   174 meV/atom
VASP energy   -4.797 eV/atom



12.
Entry from Alexandria: a relaxed structure of NdDySn (GGA-PBE).

a b c (Å): 4.374 4.374 10.038
angles (deg): 90.00 90.00 90.00
Space group P4/nmm (No. 129, origin choice 2)
Symmetry-distinct sites (fractional):
Nd 0.250 0.250 0.212 (multiplicity 2)
Dy 0.250 0.250 0.595 (multiplicity 2)
Sn 0.250 0.250 0.900 (multiplicity 2)

Output
DOS(E_F)   1.5398 states/eV/atom
Excess energy over the best structure of this formula in the dataset   420 meV/atom
VASP energy   -4.651 eV/atom